# BeIn2Cu | Alexandria via LeMat-Bulk | meta-GGA SCAN | PBEsol geometry
# energy	-21.21	eV per atom
# calculated volume	66.90	Å³/f.u.
# DFT formation energy	0.374	eV per atom
data_BeIn2Cu
_symmetry_space_group_name_H-M 'I -4 m 2'
_symmetry_Int_Tables_number 119
_symmetry_space_group_name_Hall 'I -4 -2'
_cell_length_a 3.987
_cell_length_b 3.987
_cell_length_c 8.416
_cell_angle_alpha 90.00
_cell_angle_beta 90.00
_cell_angle_gamma 90.00
loop_
_atom_site_label
_atom_site_type_symbol
_atom_site_fract_x
_atom_site_fract_y
_atom_site_fract_z
Be1 Be 0.000 0.000 0.000
In1 In 0.000 0.000 0.500
In2 In 0.000 0.500 0.750
Cu1 Cu 0.000 0.500 0.250

# RbCuGe2Te | Alexandria via LeMat-Bulk | meta-GGA SCAN | PBEsol geometry
# energy	-20.31	eV per atom
# calculated volume	182.16	Å³/f.u.
# ΔE_f (raw)	1963	meV per atom
data_RbCuGe2Te
_symmetry_space_group_name_H-M 'P 4/m m m'
_symmetry_Int_Tables_number 123
_symmetry_space_group_name_Hall '-P 4 2'
_cell_length_a 5.500
_cell_length_b 5.500
_cell_length_c 6.021
_cell_angle_alpha 90.00
_cell_angle_beta 90.00
_cell_angle_gamma 90.00
loop_
_atom_site_label
_atom_site_type_symbol
_atom_site_fract_x
_atom_site_fract_y
_atom_site_fract_z
Rb1 Rb 0.000 0.000 0.000
Cu1 Cu 0.500 0.500 0.500
Ge1 Ge 0.000 0.500 0.000
Te1 Te 0.000 0.000 0.500

# SrCoOs2 | Alexandria via LeMat-Bulk | meta-GGA SCAN | PBEsol geometry
# distance to the lowest polymorph of the same formula	0	meV/atom
# energy	-45.68	eV per atom
# calculated volume	84.00	Å³/f.u.
# DFT formation energy	0.152	eV per atom
data_SrCoOs2
_symmetry_space_group_name_H-M 'R 3 m'
_symmetry_Int_Tables_number 160
_symmetry_space_group_name_Hall 'R 3 -2"'
_cell_length_a 4.2319
_cell_length_b 4.2319
_cell_length_c 16.2483
_cell_angle_alpha 90.00
_cell_angle_beta 90.00
_cell_angle_gamma 120.00
loop_
_atom_site_label
_atom_site_type_symbol
_atom_site_fract_x
_atom_site_fract_y
_atom_site_fract_z
Sr1 Sr 0.0000 0.0000 0.0000
Co1 Co 0.0000 0.0000 0.8107
Os1 Os 0.0000 0.0000 0.1890
Os2 Os 0.0000 0.0000 0.5052

# Sc2CuSe | Alexandria via LeMat-Bulk | meta-GGA SCAN | PBEsol geometry
# energy	-16.56	eV per atom
# calculated volume	71.03	Å³/f.u.
# ΔE_f (raw)	-625	meV per atom
data_Sc2CuSe
_symmetry_space_group_name_H-M 'I m m m'
_symmetry_Int_Tables_number 71
_symmetry_space_group_name_Hall '-I 2 2'
_cell_length_a 3.975
_cell_length_b 4.790
_cell_length_c 7.461
_cell_angle_alpha 90.00
_cell_angle_beta 90.00
_cell_angle_gamma 90.00
loop_
_atom_site_label
_atom_site_type_symbol
_atom_site_fract_x
_atom_site_fract_y
_atom_site_fract_z
Sc1 Sc 0.000 0.000 0.245
Cu1 Cu 0.000 0.500 0.000
Se1 Se 0.000 0.500 0.500

# BeCuRu2 | Alexandria via LeMat-Bulk | meta-GGA SCAN | PBEsol geometry
# energy	-22.41	eV per atom
# calculated volume	45.96	Å³/f.u.
# DFT formation energy	-0.106	eV per atom
data_BeCuRu2
_symmetry_space_group_name_H-M 'P 4 m m'
_symmetry_Int_Tables_number 99
_cell_length_a 2.705
_cell_length_b 2.705
_cell_length_c 6.281
_cell_angle_alpha 90.00
_cell_angle_beta 90.00
_cell_angle_gamma 90.00
loop_
_symmetry_equiv_pos_as_xyz
'x,y,z'
'-y,x,z'
'-x,-y,z'
'y,-x,z'
'-x,y,z'
'y,x,z'
'x,-y,z'
'-y,-x,z'
loop_
_atom_site_label
_atom_site_type_symbol
_atom_site_fract_x
_atom_site_fract_y
_atom_site_fract_z
Be1 Be 0.000 0.000 0.000
Cu1 Cu 0.500 0.500 0.198
Ru1 Ru 0.000 0.000 0.491
Ru2 Ru 0.500 0.500 0.761

# Cs2CdBi | Alexandria via LeMat-Bulk | meta-GGA SCAN | PBEsol geometry
# energy	-46.27	eV per atom
# calculated volume	178.47	Å³/f.u.
# DFT formation energy	-0.120	eV per atom
data_Cs2CdBi
_symmetry_space_group_name_H-M 'F m -3 m'
_symmetry_Int_Tables_number 225
_symmetry_space_group_name_Hall '-F 4 2 3'
_cell_length_a 8.937
_cell_length_b 8.937
_cell_length_c 8.937
_cell_angle_alpha 90.00
_cell_angle_beta 90.00
_cell_angle_gamma 90.00
loop_
_atom_site_label
_atom_site_type_symbol
_atom_site_fract_x
_atom_site_fract_y
_atom_site_fract_z
Cs1 Cs 0.250 0.250 0.250
Cd1 Cd 0.000 0.000 0.000
Bi1 Bi 0.000 0.000 0.500

Repeat the third record exactly.
# SrCoOs2 | Alexandria via LeMat-Bulk | meta-GGA SCAN | PBEsol geometry
# distance to the lowest polymorph of the same formula	0	meV/atom
# energy	-45.68	eV per atom
# calculated volume	84.00	Å³/f.u.
# DFT formation energy	0.152	eV per atom
data_SrCoOs2
_symmetry_space_group_name_H-M 'R 3 m'
_symmetry_Int_Tables_number 160
_symmetry_space_group_name_Hall 'R 3 -2"'
_cell_length_a 4.2319
_cell_length_b 4.2319
_cell_length_c 16.2483
_cell_angle_alpha 90.00
_cell_angle_beta 90.00
_cell_angle_gamma 120.00
loop_
_atom_site_label
_atom_site_type_symbol
_atom_site_fract_x
_atom_site_fract_y
_atom_site_fract_z
Sr1 Sr 0.0000 0.0000 0.0000
Co1 Co 0.0000 0.0000 0.8107
Os1 Os 0.0000 0.0000 0.1890
Os2 Os 0.0000 0.0000 0.5052

- Look up the energy of the sixth one.
  -46.27 eV per atom